Entry 1:
Entry from Alexandria via LeMat-Bulk: an optimized crystal structure of Ca3Ac6La2In (PBE).

## Properties
ΔH_f (0 K): -0.02 eV per atom
total DFT energy (no corrections): -43.50 eV per formula unit
spin magnetization: 0.0000 μB/atom

Cell lengths 6.6722, 6.6722, 12.8167 Å; angles 95.01, 95.01, 120.03 degrees
Atoms (fractional coordinates):
Ac  0.3990  0.0789  0.2385
Ca  0.1671  0.8329  0.5000
La  0.6660  0.3340  0.0000
Ac  0.2409  0.2409  0.7610
Ac  0.7591  0.7591  0.2390
La  0.3340  0.6660  0.0000
Ac  0.9211  0.6010  0.7615
Ac  0.0789  0.3990  0.2385
Ca  0.5000  0.5000  0.5000
In  0.0000  0.0000  0.0000
Ca  0.8329  0.1671  0.5000
Ac  0.6010  0.9211  0.7615

---

Entry 2:
Entry from Alexandria via LeMat-Bulk: an optimized crystal structure of Pr2GaNi5Ir2 (PBE).

## Properties
ΔH_f (0 K): -0.16 eV per atom
total DFT energy (no corrections): -60.77 eV per formula unit
spin magnetization: 0.0000 μB/atom

Cell lengths 3.6322, 9.5377, 9.5377 Å; angles 90.00, 90.00, 90.00 degrees
Atoms (fractional coordinates):
Pr  0.0000  0.3283  0.8283
Ni  0.5000  0.9421  0.1873
Ir  0.0000  0.3714  0.1286
Ni  0.5000  0.6873  0.4421
Ir  0.0000  0.8714  0.3714
Pr  0.0000  0.6717  0.1717
Pr  0.0000  0.1717  0.3283
Ga  0.0000  0.0000  0.0000
Ni  0.5000  0.3127  0.5579
Ir  0.0000  0.1286  0.6286
Pr  0.0000  0.8283  0.6717
Ni  0.5000  0.0579  0.8127
Ni  0.5000  0.1873  0.0579
Ni  0.5000  0.5000  0.0000
Ni  0.5000  0.0000  0.5000
Ni  0.5000  0.4421  0.3127
Ir  0.0000  0.6286  0.8714
Ga  0.0000  0.5000  0.5000
Ni  0.5000  0.8127  0.9421
Ni  0.5000  0.5579  0.6873

---

Number 1: volume 40.53 Å³ per atom. Number 2: volume 16.52 Å³ per atom.